Entry 1:
Density functional theory data (PBE-GGA) for an optimized crystal structure of AcMnPIr6.

```
18
Lattice="-2.633 -0.666 -5.436 -5.380 -6.837 3.444 -0.023 7.664 2.468" Properties=species:S:1:pos:R:3 pbc="T T T"
Ac -5.266 0.486 -0.906
Ac -2.770 -0.326 1.382
Mn -1.328 3.499 -1.484
Mn -0.012 3.832 1.234
P -4.006 -3.752 -0.996
P -1.317 -0.333 -2.718
Ir -4.870 1.713 2.149
Ir -3.307 4.614 -2.361
Ir -2.958 0.679 -3.846
Ir -4.496 -2.695 0.910
Ir -1.564 1.032 -0.967
Ir -5.891 -3.047 -1.969
Ir -3.166 -1.553 -1.673
Ir -4.729 -4.454 2.837
Ir -5.078 -0.519 4.322
Ir -3.540 2.855 -0.434
Ir -6.472 -0.872 1.443
Ir -2.145 3.208 2.445
```

Values from the calculation:
Formation energy   0.135 eV per atom
Crystal system   orthorhombic
Space-group type   No. 74

=====

Entry 2:
Density functional theory data (PBE-GGA) for an optimized crystal structure of Ac2MnP4Ir3.

```
10
Lattice="-2.596 1.814 -2.878 2.018 -2.093 -3.140 -6.213 -7.401 0.939" Properties=species:S:1:pos:R:3 pbc="T T T"
Ac -2.802 -0.884 -1.212
Ac -3.700 -6.656 -0.858
Mn -3.395 -3.840 -2.539
P -0.289 -0.139 -3.009
P 0.000 0.000 0.000
P -5.159 -3.691 -0.855
P -1.343 -3.849 -1.214
Ir -3.107 -3.700 0.470
Ir -6.828 -5.680 -0.603
Ir 0.326 -1.860 -1.467
```

Values from the calculation:
Formation energy   -0.877 eV per atom
Crystal system   tetragonal
Space-group type   No. 115

=====

Entry 3:
Density functional theory data (PBE-GGA) for an optimized crystal structure of AcMn2IrS8.

```
12
Lattice="-2.956 3.673 -3.461 -2.834 -3.108 4.065 1.174 6.135 5.510" Properties=species:S:1:pos:R:3 pbc="T T T"
Ac 0.000 0.000 0.000
Mn -2.617 2.975 0.450
Mn -2.000 3.726 5.663
Ir 0.587 3.068 2.755
S -1.705 5.265 7.045
S -1.451 2.123 2.013
S -4.428 1.401 3.452
S -2.911 1.436 -0.932
S -0.189 5.300 2.661
S -3.165 4.578 4.100
S -3.009 6.820 1.570
S -1.607 -0.119 4.543
```

Values from the calculation:
Crystal system   trigonal
Space-group type   No. 147
Raw formation energy   -630 meV/atom

=====

Entry 4:
Density functional theory data (PBE-GGA) for an optimized crystal structure of Ac2MnSn4Ir3.

```
10
Lattice="-0.866 3.832 2.382 -4.276 -1.471 0.812 3.471 -4.975 9.265" Properties=species:S:1:pos:R:3 pbc="T T T"
Ac 0.434 0.673 3.506
Ac 0.466 -4.467 7.356
Mn -0.835 -1.307 6.229
Sn -2.571 1.180 1.597
Sn 0.000 0.000 0.000
Sn 1.753 -1.217 7.026
Sn -0.853 -2.577 3.836
Ir 1.735 -2.487 4.633
Ir 2.589 -2.416 9.258
Ir -1.689 -1.378 1.603
```

Values from the calculation:
Formation energy   -0.506 eV per atom
Crystal system   tetragonal
Space-group type   No. 115

=====

Entry 5:
Density functional theory data (PBE-GGA) for an optimized crystal structure of Ac2MnSn3Ir4.

```
10
Lattice="4.438 0.000 0.000 0.000 4.438 0.000 0.000 0.000 11.325" Properties=species:S:1:pos:R:3 pbc="T T T"
Ac 2.219 0.000 2.877
Ac 0.000 2.219 8.448
Mn 2.219 2.219 5.663
Sn 0.000 0.000 5.663
Sn 2.219 0.000 9.869
Sn 0.000 2.219 1.456
Ir 2.219 2.219 0.000
Ir 0.000 0.000 0.000
Ir 2.219 0.000 7.182
Ir 0.000 2.219 4.144
```

Values from the calculation:
Formation energy   -0.499 eV per atom
Crystal system   tetragonal
Space-group type   No. 115

=====

Entry 6:
Density functional theory data (PBE-GGA) for an optimized crystal structure of Ac8Ir3N.

```
12
Lattice="-5.939 -2.076 5.811 3.303 -6.048 -5.097 4.759 3.494 6.112" Properties=species:S:1:pos:R:3 pbc="T T T"
Ac 3.813 -0.948 3.559
Ac -1.691 -3.683 3.268
Ac 2.306 2.159 6.105
Ac -0.832 1.062 9.175
Ac 0.912 -2.127 6.483
Ac 1.211 -2.504 0.343
Ac 2.955 -5.692 -2.349
Ac -0.183 -6.789 0.722
Ir -2.969 -1.038 2.906
Ir -1.318 -4.062 0.357
Ir 1.651 -3.024 -2.549
N 0.000 0.000 0.000
```

Values from the calculation:
Crystal system   monoclinic
Space-group type   No. 12
Raw formation energy   -569 meV/atom